First-principles (PBE) data for an optimized crystal structure of SrCrTe3, as listed in Alexandria. Values from VASP.

Output
Total energy ... -3.574 eV/atom
SG ... Pm-3m, No. 221
Size of the total moment ... 2.98 μB/cell
Crystal system ... cubic

Cell and atoms, written as Quantum ESPRESSO input:
```
&SYSTEM
  ibrav = 0, nat = 5, ntyp = 3
/
ATOMIC_SPECIES
Sr 87.62 Sr.upf
Te 127.60 Te.upf
Cr 52.00 Cr.upf
CELL_PARAMETERS angstrom
-2.816 0.340 5.290
1.372 -5.740 1.100
5.121 1.725 2.615
ATOMIC_POSITIONS crystal
Sr 0.000 0.000 0.000
Te 0.500 0.000 0.000
Cr 0.500 0.500 0.500
Te 0.000 0.500 0.000
Te 0.000 0.000 0.500
```

First-principles (PBE) data for an optimized crystal structure of TbDy3S4, as listed in Alexandria. Values from VASP.

Output
Total energy ... -6.355 eV/atom
SG ... Pm-3m, No. 221
Size of the total moment ... 0.00 μB/cell
Crystal system ... cubic

Cell and atoms, written as Quantum ESPRESSO input:
```
&SYSTEM
  ibrav = 0, nat = 8, ntyp = 3
/
ATOMIC_SPECIES
S 32.06 S.upf
Dy 162.50 Dy.upf
Tb 158.93 Tb.upf
CELL_PARAMETERS angstrom
5.531 0.000 0.000
0.000 5.531 0.000
0.000 0.000 5.531
ATOMIC_POSITIONS crystal
S 0.000 0.000 0.500
S 0.500 0.000 0.000
Dy 0.000 0.500 0.500
S 0.500 0.500 0.500
Dy 0.500 0.000 0.500
S 0.000 0.500 0.000
Dy 0.500 0.500 0.000
Tb 0.000 0.000 0.000
```

First-principles (PBE) data for an optimized crystal structure of DyScTe2, as listed in Alexandria. Values from VASP.

Output
Total energy ... -5.345 eV/atom
SG ... Fm-3m, No. 225
Size of the total moment ... 1.46 μB/cell
Crystal system ... cubic

Cell and atoms, written as Quantum ESPRESSO input:
```
&SYSTEM
  ibrav = 0, nat = 4, ntyp = 3
/
ATOMIC_SPECIES
Te 127.60 Te.upf
Sc 44.96 Sc.upf
Dy 162.50 Dy.upf
CELL_PARAMETERS angstrom
5.257 0.000 0.000
2.629 4.553 0.000
2.629 1.518 4.293
ATOMIC_POSITIONS crystal
Te 0.250 0.250 0.250
Te 0.750 0.750 0.750
Sc 0.500 0.500 0.500
Dy 0.000 0.000 0.000
```

First-principles (PBE) data for an optimized crystal structure of Mn3BiIr, as listed in Alexandria. Values from VASP.

Output
Total energy ... -7.316 eV/atom
SG ... Pm-3m, No. 221
Size of the total moment ... 12.55 μB/cell
Crystal system ... cubic

Cell and atoms, written as Quantum ESPRESSO input:
```
&SYSTEM
  ibrav = 0, nat = 5, ntyp = 3
/
ATOMIC_SPECIES
Bi 208.98 Bi.upf
Mn 54.94 Mn.upf
Ir 192.22 Ir.upf
CELL_PARAMETERS angstrom
4.846 0.000 0.000
0.000 4.846 0.000
0.000 0.000 4.846
ATOMIC_POSITIONS crystal
Bi 0.500 0.500 0.500
Mn 0.000 0.000 0.500
Ir 0.000 0.000 0.000
Mn 0.500 0.000 0.000
Mn 0.000 0.500 0.000
```

First-principles (PBE) data for an optimized crystal structure of Pr3Ho3Cd, as listed in Alexandria. Values from VASP.

Output
Total energy ... -4.179 eV/atom
SG ... P6_3/m, No. 176
Size of the total moment ... 0.00 μB/cell
Crystal system ... hexagonal

Cell and atoms, written as Quantum ESPRESSO input:
```
&SYSTEM
  ibrav = 0, nat = 14, ntyp = 3
/
ATOMIC_SPECIES
Cd 112.41 Cd.upf
Pr 140.91 Pr.upf
Ho 164.93 Ho.upf
CELL_PARAMETERS angstrom
5.606 0.000 0.000
0.000 9.577 -0.012
0.000 -4.782 8.298
ATOMIC_POSITIONS crystal
Cd 0.750 0.333 0.667
Pr 0.750 0.634 0.106
Ho 0.250 0.943 0.765
Ho 0.250 0.822 0.057
Ho 0.750 0.766 0.822
Pr 0.250 0.106 0.473
Cd 0.250 0.667 0.333
Ho 0.250 0.234 0.178
Pr 0.750 0.473 0.366
Ho 0.750 0.057 0.235
Pr 0.250 0.366 0.894
Ho 0.750 0.178 0.943
Pr 0.750 0.894 0.527
Pr 0.250 0.527 0.634
```

First-principles (PBE) data for an optimized crystal structure of Be2SbPb, as listed in Alexandria. Values from VASP.

Output
Total energy ... -3.197 eV/atom
SG ... P4/mmm, No. 123
Size of the total moment ... 0.00 μB/cell
Crystal system ... tetragonal

Cell and atoms, written as Quantum ESPRESSO input:
```
&SYSTEM
  ibrav = 0, nat = 4, ntyp = 3
/
ATOMIC_SPECIES
Pb 207.20 Pb.upf
Be 9.01 Be.upf
Sb 121.76 Sb.upf
CELL_PARAMETERS angstrom
3.487 0.000 0.000
0.000 3.489 0.000
0.000 0.000 6.638
ATOMIC_POSITIONS crystal
Pb 0.500 0.500 0.250
Be 0.000 0.000 0.914
Be 0.000 0.000 0.586
Sb 0.500 0.500 0.750
```

First-principles (PBE) data for an optimized crystal structure of BeSi2Cl, as listed in Alexandria. Values from VASP.

Output
Total energy ... -3.925 eV/atom
SG ... Cmm2, No. 35
Size of the total moment ... 0.00 μB/cell
Crystal system ... orthorhombic

Cell and atoms, written as Quantum ESPRESSO input:
```
&SYSTEM
  ibrav = 0, nat = 4, ntyp = 3
/
ATOMIC_SPECIES
Si 28.09 Si.upf
Be 9.01 Be.upf
Cl 35.45 Cl.upf
CELL_PARAMETERS angstrom
3.086 0.045 0.000
-1.715 2.566 0.000
0.000 0.000 9.508
ATOMIC_POSITIONS crystal
Si 0.000 0.000 0.077
Be 0.000 0.000 0.492
Cl 0.500 0.500 0.638
Si 0.500 0.500 0.293
```

First-principles (PBE) data for an optimized crystal structure of CaNd2Mg5, as listed in Alexandria. Values from VASP.

Output
Total energy ... -2.504 eV/atom
SG ... I4/mmm, No. 139
Size of the total moment ... 0.00 μB/cell
Crystal system ... tetragonal

Cell and atoms, written as Quantum ESPRESSO input:
```
&SYSTEM
  ibrav = 0, nat = 8, ntyp = 3
/
ATOMIC_SPECIES
Nd 144.24 Nd.upf
Mg 24.30 Mg.upf
Ca 40.08 Ca.upf
CELL_PARAMETERS angstrom
-3.486 -3.102 -1.860
3.605 -2.766 -2.143
0.471 -2.062 9.340
ATOMIC_POSITIONS crystal
Nd 0.742 0.742 0.484
Mg 0.119 0.619 0.239
Mg 0.881 0.381 0.761
Mg 0.381 0.881 0.761
Mg 0.500 0.500 0.000
Mg 0.619 0.119 0.239
Nd 0.258 0.258 0.516
Ca 0.000 0.000 0.000
```

First-principles (PBE) data for an optimized crystal structure of LaTl2Pb, as listed in Alexandria. Values from VASP.

Output
Total energy ... -3.657 eV/atom
SG ... I4/mmm, No. 139
Size of the total moment ... 0.00 μB/cell
Crystal system ... tetragonal

Cell and atoms, written as Quantum ESPRESSO input:
```
&SYSTEM
  ibrav = 0, nat = 4, ntyp = 3
/
ATOMIC_SPECIES
Tl 204.38 Tl.upf
Pb 207.20 Pb.upf
La 138.91 La.upf
CELL_PARAMETERS angstrom
6.243 0.022 -0.063
4.398 4.430 -0.063
1.865 0.780 4.322
ATOMIC_POSITIONS crystal
Tl 0.000 0.000 0.000
Pb 0.250 0.250 0.250
Tl 0.500 0.500 0.500
La 0.750 0.750 0.750
```

First-principles (PBE) data for an optimized crystal structure of Ce2PmErS4, as listed in Alexandria. Values from VASP.

Output
Total energy ... -6.735 eV/atom
SG ... P2/m, No. 10
Size of the total moment ... 1.58 μB/cell
Crystal system ... monoclinic

Cell and atoms, written as Quantum ESPRESSO input:
```
&SYSTEM
  ibrav = 0, nat = 8, ntyp = 4
/
ATOMIC_SPECIES
Ce 140.12 Ce.upf
S 32.06 S.upf
Pm 145.00 Pm.upf
Er 167.26 Er.upf
CELL_PARAMETERS angstrom
3.971 0.000 0.000
0.000 6.901 0.125
0.000 -2.405 6.511
ATOMIC_POSITIONS crystal
Ce 0.500 0.000 0.500
S 0.500 0.239 0.239
S 0.500 0.761 0.761
Pm 0.500 0.500 0.000
S 0.000 0.756 0.244
Er 0.000 0.000 0.000
Ce 0.000 0.500 0.500
S 0.000 0.244 0.756
```

First-principles (PBE) data for an optimized crystal structure of HoAuO, as listed in Alexandria. Values from VASP.

Output
Total energy ... -6.546 eV/atom
SG ... P4/nmm, No. 129
Size of the total moment ... 0.00 μB/cell
Crystal system ... tetragonal

Cell and atoms, written as Quantum ESPRESSO input:
```
&SYSTEM
  ibrav = 0, nat = 6, ntyp = 3
/
ATOMIC_SPECIES
O 16.00 O.upf
Au 196.97 Au.upf
Ho 164.93 Ho.upf
CELL_PARAMETERS angstrom
-2.078 3.053 -1.138
-3.230 -1.754 1.192
0.791 2.963 6.503
ATOMIC_POSITIONS crystal
O 0.750 0.750 0.500
Au 0.750 0.250 0.078
Au 0.250 0.750 0.922
Ho 0.250 0.750 0.346
Ho 0.750 0.250 0.654
O 0.250 0.250 0.500
```